# 1
## CoRe2W (GGA-PBE)

Data for crystalline CoRe2W at its relaxed geometry.

Structure (CIF):
```
data_CoRe2W
_chemical_formula_sum 'Co1 Re2 W1'
_cell_length_a 4.678
_cell_length_b 4.678
_cell_length_c 4.745
_cell_angle_alpha 99.47
_cell_angle_beta 99.47
_cell_angle_gamma 34.02
_symmetry_space_group_name_H-M 'P 1'
_symmetry_Int_Tables_number 1
loop_
_symmetry_equiv_pos_as_xyz
'x,y,z'
loop_
_atom_site_label
_atom_site_type_symbol
_atom_site_fract_x
_atom_site_fract_y
_atom_site_fract_z
_atom_site_occupancy
Co1 Co 0.000 0.000 0.000 1
Re1 Re 0.258 0.258 0.764 1
Re2 Re 0.742 0.742 0.236 1
W1 W 0.500 0.500 0.500 1
```

* density of states at the Fermi level: 3.7 states/eV/cell
* calculated density: 17.9 g/cm3
* formation enthalpy at 0 K: 129 meV per atom

***

# 2
## ZrMo3Ir (GGA-PBE)

Data for crystalline ZrMo3Ir at its relaxed geometry.

Structure (CIF):
```
data_ZrMo3Ir
_chemical_formula_sum 'Zr1 Mo3 Ir1'
_cell_length_a 4.670
_cell_length_b 4.670
_cell_length_c 4.670
_cell_angle_alpha 90.00
_cell_angle_beta 90.00
_cell_angle_gamma 90.00
_symmetry_space_group_name_H-M 'P 1'
_symmetry_Int_Tables_number 1
loop_
_symmetry_equiv_pos_as_xyz
'x,y,z'
loop_
_atom_site_label
_atom_site_type_symbol
_atom_site_fract_x
_atom_site_fract_y
_atom_site_fract_z
_atom_site_occupancy
Zr1 Zr 0.000 0.000 0.000 1
Mo1 Mo 0.000 0.000 0.500 1
Mo2 Mo 0.000 0.500 0.000 1
Mo3 Mo 0.500 0.000 0.000 1
Ir1 Ir 0.500 0.500 0.500 1
```

* density of states at the Fermi level: 6.6 states/eV/cell
* calculated density: 9.3 g/cm3
* formation enthalpy at 0 K: 2266 meV per atom

***

# 3
## Rb3As2Se4 (GGA-PBE)

Data for crystalline Rb3As2Se4 at its relaxed geometry.

Structure (CIF):
```
data_Rb3As2Se4
_chemical_formula_sum 'Rb6 As4 Se8'
_cell_length_a 9.515
_cell_length_b 9.515
_cell_length_c 7.387
_cell_angle_alpha 91.09
_cell_angle_beta 91.09
_cell_angle_gamma 86.35
_symmetry_space_group_name_H-M 'P 1'
_symmetry_Int_Tables_number 1
loop_
_symmetry_equiv_pos_as_xyz
'x,y,z'
loop_
_atom_site_label
_atom_site_type_symbol
_atom_site_fract_x
_atom_site_fract_y
_atom_site_fract_z
_atom_site_occupancy
Rb1 Rb 0.108 0.892 0.750 1
Rb2 Rb 0.245 0.500 0.429 1
Rb3 Rb 0.500 0.245 0.929 1
Rb4 Rb 0.500 0.755 0.071 1
Rb5 Rb 0.755 0.500 0.571 1
Rb6 Rb 0.892 0.108 0.250 1
As1 As 0.075 0.317 0.920 1
As2 As 0.317 0.075 0.420 1
As3 As 0.683 0.925 0.580 1
As4 As 0.925 0.683 0.080 1
Se1 Se 0.052 0.255 0.612 1
Se2 Se 0.207 0.521 0.938 1
Se3 Se 0.255 0.052 0.112 1
Se4 Se 0.479 0.793 0.562 1
Se5 Se 0.521 0.207 0.438 1
Se6 Se 0.745 0.948 0.888 1
Se7 Se 0.793 0.479 0.062 1
Se8 Se 0.948 0.745 0.388 1
```

* density of states at the Fermi level: 4.8 states/eV/cell
* E_form (uncorrected): -0.67 eV/atom
* calculated density: 3.6 g/cm3

***

# 4
## V2Sb2Te (GGA-PBE)

Data for crystalline V2Sb2Te at its relaxed geometry.

Structure (CIF):
```
data_V2Sb2Te
_chemical_formula_sum 'V4 Sb4 Te2'
_cell_length_a 7.698
_cell_length_b 7.698
_cell_length_c 3.432
_cell_angle_alpha 90.00
_cell_angle_beta 90.00
_cell_angle_gamma 90.00
_symmetry_space_group_name_H-M 'P 1'
_symmetry_Int_Tables_number 1
loop_
_symmetry_equiv_pos_as_xyz
'x,y,z'
loop_
_atom_site_label
_atom_site_type_symbol
_atom_site_fract_x
_atom_site_fract_y
_atom_site_fract_z
_atom_site_occupancy
V1 V 0.145 0.355 0.000 1
V2 V 0.355 0.855 0.000 1
V3 V 0.645 0.145 0.000 1
V4 V 0.855 0.645 0.000 1
Sb1 Sb 0.145 0.645 0.500 1
Sb2 Sb 0.355 0.145 0.500 1
Sb3 Sb 0.645 0.855 0.500 1
Sb4 Sb 0.855 0.355 0.500 1
Te1 Te 0.000 0.000 0.000 1
Te2 Te 0.500 0.500 0.000 1
```

* density of states at the Fermi level: 10.4 states/eV/cell
* E_form (uncorrected): 0.09 eV/atom
* calculated density: 7.7 g/cm3

***

# 5
## SiB6 (GGA-PBE)

Data for crystalline SiB6 at its relaxed geometry.

Structure (CIF):
```
data_SiB6
_chemical_formula_sum 'Si1 B6'
_cell_length_a 4.134
_cell_length_b 4.134
_cell_length_c 4.134
_cell_angle_alpha 90.00
_cell_angle_beta 90.00
_cell_angle_gamma 90.00
_symmetry_space_group_name_H-M 'P 1'
_symmetry_Int_Tables_number 1
loop_
_symmetry_equiv_pos_as_xyz
'x,y,z'
loop_
_atom_site_label
_atom_site_type_symbol
_atom_site_fract_x
_atom_site_fract_y
_atom_site_fract_z
_atom_site_occupancy
Si1 Si 0.000 0.000 0.000 1
B1 B 0.200 0.500 0.500 1
B2 B 0.500 0.200 0.500 1
B3 B 0.500 0.500 0.200 1
B4 B 0.500 0.500 0.800 1
B5 B 0.500 0.800 0.500 1
B6 B 0.800 0.500 0.500 1
```

* density of states at the Fermi level: 0.9 states/eV/cell
* E_form (uncorrected): 0.46 eV/atom
* calculated density: 2.2 g/cm3

***

# 6
## K2AlH6Au (GGA-PBE)

Data for crystalline K2AlH6Au at its relaxed geometry.

Structure (CIF):
```
data_K2AlH6Au
_chemical_formula_sum 'K2 Al1 H6 Au1'
_cell_length_a 5.622
_cell_length_b 5.622
_cell_length_c 5.622
_cell_angle_alpha 114.45
_cell_angle_beta 114.45
_cell_angle_gamma 99.92
_symmetry_space_group_name_H-M 'P 1'
_symmetry_Int_Tables_number 1
loop_
_symmetry_equiv_pos_as_xyz
'x,y,z'
loop_
_atom_site_label
_atom_site_type_symbol
_atom_site_fract_x
_atom_site_fract_y
_atom_site_fract_z
_atom_site_occupancy
K1 K 0.250 0.750 0.500 1
K2 K 0.750 0.250 0.500 1
Al1 Al 0.000 0.000 0.000 1
H1 H 0.201 0.201 0.401 1
H2 H 0.201 0.799 0.000 1
H3 H 0.266 0.266 0.000 1
H4 H 0.734 0.734 0.000 1
H5 H 0.799 0.201 0.000 1
H6 H 0.799 0.799 0.599 1
Au1 Au 0.500 0.500 0.000 1
```

* calculated density: 3.8 g/cm3
* final energy: -30.86 eV for the cell shown

***

# 7
## Li2Hg2Sb (GGA-PBE)

Data for crystalline Li2Hg2Sb at its relaxed geometry.

Structure (CIF):
```
data_Li2Hg2Sb
_chemical_formula_sum 'Li4 Hg4 Sb2'
_cell_length_a 7.856
_cell_length_b 7.856
_cell_length_c 7.856
_cell_angle_alpha 135.20
_cell_angle_beta 66.70
_cell_angle_gamma 133.31
_symmetry_space_group_name_H-M 'P 1'
_symmetry_Int_Tables_number 1
loop_
_symmetry_equiv_pos_as_xyz
'x,y,z'
loop_
_atom_site_label
_atom_site_type_symbol
_atom_site_fract_x
_atom_site_fract_y
_atom_site_fract_z
_atom_site_occupancy
Li1 Li 0.169 0.162 0.331 1
Li2 Li 0.331 0.662 0.993 1
Li3 Li 0.669 0.338 0.007 1
Li4 Li 0.831 0.838 0.669 1
Hg1 Hg 0.124 0.612 0.736 1
Hg2 Hg 0.376 0.112 0.488 1
Hg3 Hg 0.624 0.888 0.512 1
Hg4 Hg 0.876 0.388 0.264 1
Sb1 Sb 0.250 0.250 0.000 1
Sb2 Sb 0.750 0.750 0.000 1
```

* density of states at the Fermi level: 3.0 states/eV/cell
* E_form (uncorrected): -0.23 eV/atom
* calculated density: 7.3 g/cm3

***

# 8
## Rb2HgGeO4 (GGA-PBE)

Data for crystalline Rb2HgGeO4 at its relaxed geometry.

Structure (CIF):
```
data_Rb2HgGeO4
_chemical_formula_sum 'Rb2 Hg1 Ge1 O4'
_cell_length_a 5.898
_cell_length_b 5.898
_cell_length_c 5.898
_cell_angle_alpha 116.07
_cell_angle_beta 116.07
_cell_angle_gamma 96.95
_symmetry_space_group_name_H-M 'P 1'
_symmetry_Int_Tables_number 1
loop_
_symmetry_equiv_pos_as_xyz
'x,y,z'
loop_
_atom_site_label
_atom_site_type_symbol
_atom_site_fract_x
_atom_site_fract_y
_atom_site_fract_z
_atom_site_occupancy
Rb1 Rb 0.000 0.000 0.000 1
Rb2 Rb 0.750 0.250 0.500 1
Hg1 Hg 0.250 0.750 0.500 1
Ge1 Ge 0.500 0.500 0.000 1
O1 O 0.240 0.177 0.663 1
O2 O 0.423 0.760 0.937 1
O3 O 0.514 0.577 0.337 1
O4 O 0.823 0.486 0.063 1
```

* density of states at the Fermi level: 0.0 states/eV/cell
* E_form (uncorrected): -1.35 eV/atom
* calculated density: 5.5 g/cm3

***

# 9
## Tb4ErIn4 (GGA-PBE)

Data for crystalline Tb4ErIn4 at its relaxed geometry.

Structure (CIF):
```
data_Tb4ErIn4
_chemical_formula_sum 'Tb8 Er2 In8'
_cell_length_a 7.144
_cell_length_b 7.144
_cell_length_c 10.700
_cell_angle_alpha 90.00
_cell_angle_beta 90.00
_cell_angle_gamma 90.00
_symmetry_space_group_name_H-M 'P 1'
_symmetry_Int_Tables_number 1
loop_
_symmetry_equiv_pos_as_xyz
'x,y,z'
loop_
_atom_site_label
_atom_site_type_symbol
_atom_site_fract_x
_atom_site_fract_y
_atom_site_fract_z
_atom_site_occupancy
Tb1 Tb 0.025 0.250 0.171 1
Tb2 Tb 0.250 0.025 0.671 1
Tb3 Tb 0.250 0.475 0.671 1
Tb4 Tb 0.475 0.250 0.171 1
Tb5 Tb 0.525 0.750 0.829 1
Tb6 Tb 0.750 0.525 0.329 1
Tb7 Tb 0.750 0.975 0.329 1
Tb8 Tb 0.975 0.750 0.829 1
Er1 Er 0.250 0.750 0.250 1
Er2 Er 0.750 0.250 0.750 1
In1 In 0.023 0.250 0.471 1
In2 In 0.250 0.023 0.971 1
In3 In 0.250 0.477 0.971 1
In4 In 0.477 0.250 0.471 1
In5 In 0.523 0.750 0.529 1
In6 In 0.750 0.523 0.029 1
In7 In 0.750 0.977 0.029 1
In8 In 0.977 0.750 0.529 1
```

* density of states at the Fermi level: 11.2 states/eV/cell
* calculated density: 7.7 g/cm3
* formation enthalpy at 0 K: -109 meV per atom

***

# 10
## U11O5 (GGA-PBE)

Data for crystalline U11O5 at its relaxed geometry.

Structure (CIF):
```
data_U11O5
_chemical_formula_sum 'U11 O5'
_cell_length_a 3.339
_cell_length_b 7.929
_cell_length_c 11.539
_cell_angle_alpha 84.26
_cell_angle_beta 82.09
_cell_angle_gamma 78.54
_symmetry_space_group_name_H-M 'P 1'
_symmetry_Int_Tables_number 1
loop_
_symmetry_equiv_pos_as_xyz
'x,y,z'
loop_
_atom_site_label
_atom_site_type_symbol
_atom_site_fract_x
_atom_site_fract_y
_atom_site_fract_z
_atom_site_occupancy
U1 U 0.000 0.000 0.000 1
U2 U 0.023 0.839 0.806 1
U3 U 0.131 0.372 0.103 1
U4 U 0.191 0.772 0.514 1
U5 U 0.433 0.224 0.916 1
U6 U 0.507 0.171 0.567 1
U7 U 0.537 0.770 0.266 1
U8 U 0.715 0.043 0.318 1
U9 U 0.760 0.606 0.957 1
U10 U 0.919 0.547 0.658 1
U11 U 0.960 0.374 0.468 1
O1 O 0.054 0.002 0.642 1
O2 O 0.105 0.251 0.283 1
O3 O 0.426 0.533 0.373 1
O4 O 0.539 0.830 0.078 1
O5 O 0.892 0.381 0.820 1
```

* density of states at the Fermi level: 34.4 states/eV/cell
* E_form (uncorrected): -1.23 eV/atom
* calculated density: 15.2 g/cm3

***

# 11
## TlOs2Br (GGA-PBE)

Data for crystalline TlOs2Br at its relaxed geometry.

Structure (CIF):
```
data_TlOs2Br
_chemical_formula_sum 'Tl1 Os2 Br1'
_cell_length_a 3.009
_cell_length_b 3.010
_cell_length_c 9.601
_cell_angle_alpha 90.00
_cell_angle_beta 98.02
_cell_angle_gamma 90.00
_symmetry_space_group_name_H-M 'P 1'
_symmetry_Int_Tables_number 1
loop_
_symmetry_equiv_pos_as_xyz
'x,y,z'
loop_
_atom_site_label
_atom_site_type_symbol
_atom_site_fract_x
_atom_site_fract_y
_atom_site_fract_z
_atom_site_occupancy
Tl1 Tl 0.000 0.000 0.000 1
Os1 Os 0.383 0.500 0.744 1
Os2 Os 0.815 0.000 0.591 1
Br1 Br 0.718 0.500 0.371 1
```

* density of states at the Fermi level: 3.1 states/eV/cell
* E_form (uncorrected): 0.54 eV/atom
* calculated density: 12.8 g/cm3

***

# 12
## TbSm2Te4 (GGA-PBE)

Data for crystalline TbSm2Te4 at its relaxed geometry.

Structure (CIF):
```
data_TbSm2Te4
_chemical_formula_sum 'Tb2 Sm4 Te8'
_cell_length_a 7.607
_cell_length_b 7.607
_cell_length_c 15.163
_cell_angle_alpha 90.00
_cell_angle_beta 90.00
_cell_angle_gamma 147.32
_symmetry_space_group_name_H-M 'P 1'
_symmetry_Int_Tables_number 1
loop_
_symmetry_equiv_pos_as_xyz
'x,y,z'
loop_
_atom_site_label
_atom_site_type_symbol
_atom_site_fract_x
_atom_site_fract_y
_atom_site_fract_z
_atom_site_occupancy
Tb1 Tb 0.128 0.872 0.750 1
Tb2 Tb 0.872 0.128 0.250 1
Sm1 Sm 0.369 0.631 0.570 1
Sm2 Sm 0.369 0.631 0.930 1
Sm3 Sm 0.631 0.369 0.070 1
Sm4 Sm 0.631 0.369 0.430 1
Te1 Te 0.000 0.000 0.000 1
Te2 Te 0.000 0.000 0.500 1
Te3 Te 0.281 0.719 0.124 1
Te4 Te 0.281 0.719 0.376 1
Te5 Te 0.473 0.527 0.750 1
Te6 Te 0.527 0.473 0.250 1
Te7 Te 0.719 0.281 0.624 1
Te8 Te 0.719 0.281 0.876 1
```

* density of states at the Fermi level: 5.7 states/eV/cell
* E_form (uncorrected): -1.37 eV/atom
* calculated density: 6.8 g/cm3